# CaY4In2

CaY4In2 after structural relaxation (GGA-PBE, the Alexandria database).

a = 5.486 Å, b = 5.486 Å, c = 8.775 Å
α = 71.79°, β = 71.79°, γ = 90.00°
Fractional positions:
Y1 0.192 0.192 0.616
Y2 0.808 0.808 0.384
Y3 0.000 0.500 0.000
Y4 0.500 0.000 0.000
Ca1 0.000 0.000 0.000
In1 0.388 0.388 0.224
In2 0.612 0.612 0.776

energy relative to the elements: 3.77 eV/f.u.
crystal system: tetragonal
spin magnetization: 0.000 μB/f.u.